Computed, not measured: a geometry-optimized LiTb3Au4 structure at the GGA-PBE level of DFT.

The density comes out at 11.83 g/cm3. The calculation puts the size of the total moment at 0.00 μB per formula unit. Its space-group type is No. 166. The calculation puts the density of states at the Fermi level at 0.5752 states/eV/atom. The value obtained for the formation energy is -776 meV/atom.

abc: 8.687 8.687 8.687
angles: 33.57 33.57 33.57
Fractional coordinates of all 8 atoms:
Li 0.000 0.000 0.000
Tb 0.257 0.257 0.257
Tb 0.500 0.500 0.500
Tb 0.743 0.743 0.743
Au 0.128 0.128 0.128
Au 0.378 0.378 0.378
Au 0.622 0.622 0.622
Au 0.872 0.872 0.872

Computed, not measured: a geometry-optimized LiTbAu structure at the GGA-PBE level of DFT.

The density comes out at 9.06 g/cm3. The calculation puts the size of the total moment at 0.00 μB per formula unit. The calculation puts the offset from the most stable computed form at 0.027 eV/atom. Its space-group type is No. 129. The calculation puts the density of states at the Fermi level at 0.7967 states/eV/atom. The value obtained for the formation energy is -587 meV/atom.

abc: 4.064 4.064 8.057
angles: 90.00 90.00 90.00
Fractional coordinates of all 6 atoms:
Li 0.250 0.750 0.000
Li 0.750 0.250 0.000
Tb 0.250 0.250 0.348
Tb 0.750 0.750 0.652
Au 0.250 0.250 0.745
Au 0.750 0.750 0.255

Computed, not measured: a geometry-optimized LiTbAu2 structure at the GGA-PBE level of DFT.

The density comes out at 11.25 g/cm3. The calculation puts the size of the total moment at 0.00 μB per formula unit. Its space-group type is No. 123. The calculation puts the density of states at the Fermi level at 0.4728 states/eV/atom. The value obtained for the formation energy is -652 meV/atom.

abc: 4.780 4.780 3.618
angles: 90.00 90.00 90.00
Fractional coordinates of all 4 atoms:
Li 0.000 0.000 0.000
Tb 0.500 0.500 0.000
Au 0.000 0.500 0.500
Au 0.500 0.000 0.500

Computed, not measured: a geometry-optimized LiTbAu structure at the GGA-PBE level of DFT.

The density comes out at 9.45 g/cm3. The calculation puts the size of the total moment at 0.00 μB per formula unit. The calculation puts the offset from the most stable computed form at 0.097 eV/atom. Its space-group type is No. 187. The calculation puts the density of states at the Fermi level at 0.7509 states/eV/atom. The value obtained for the formation energy is -517 meV/atom.

abc: 4.495 4.495 3.643
angles: 90.00 90.00 120.00
Fractional coordinates of all 3 atoms:
Li 0.000 0.000 0.000
Tb 0.667 0.333 0.500
Au 0.333 0.667 0.000

Computed, not measured: a geometry-optimized Li2TbAu8 structure at the GGA-PBE level of DFT.

The density comes out at 13.84 g/cm3. The calculation puts the size of the total moment at 0.00 μB per formula unit. The calculation puts the offset from the most stable computed form at 0.029 eV/atom. Its space-group type is No. 5. The calculation puts the density of states at the Fermi level at 0.1947 states/eV/atom. The value obtained for the formation energy is -443 meV/atom.

abc: 7.885 7.885 4.108
angles: 104.96 104.96 59.31
Fractional coordinates of all 11 atoms:
Li 0.155 0.155 0.155
Li 0.845 0.845 0.845
Tb 0.439 0.561 0.500
Au 0.030 0.970 0.500
Au 0.041 0.591 0.316
Au 0.307 0.362 0.835
Au 0.409 0.959 0.684
Au 0.597 0.094 0.345
Au 0.638 0.693 0.165
Au 0.730 0.270 0.000
Au 0.906 0.403 0.655

Computed, not measured: a geometry-optimized LiTbAu structure at the GGA-PBE level of DFT.

The density comes out at 9.47 g/cm3. The calculation puts the size of the total moment at 0.00 μB per formula unit. The calculation puts the offset from the most stable computed form at 0.087 eV/atom. Its space-group type is No. 107. The calculation puts the density of states at the Fermi level at 0.3873 states/eV/atom. The value obtained for the formation energy is -528 meV/atom.

abc: 5.302 5.302 5.302
angles: 138.96 138.96 59.44
Fractional coordinates of all 3 atoms:
Li 0.000 0.000 0.000
Tb 0.308 0.308 0.000
Au 0.648 0.648 0.000

Computed, not measured: a geometry-optimized LiTb2ThAu4 structure at the GGA-PBE level of DFT.

The density comes out at 12.12 g/cm3. The calculation puts the size of the total moment at 0.00 μB per formula unit. Its space-group type is No. 166. The calculation puts the density of states at the Fermi level at 0.5842 states/eV/atom. The value obtained for the formation energy is -695 meV/atom.

abc: 8.920 8.920 8.920
angles: 32.69 32.69 32.69
Fractional coordinates of all 8 atoms:
Li 0.000 0.000 0.000
Tb 0.262 0.262 0.262
Tb 0.738 0.738 0.738
Th 0.500 0.500 0.500
Au 0.114 0.114 0.114
Au 0.380 0.380 0.380
Au 0.620 0.620 0.620
Au 0.886 0.886 0.886

Computed, not measured: a geometry-optimized LiTbTmAu structure at the GGA-PBE level of DFT.

The density comes out at 9.55 g/cm3. The calculation puts the size of the total moment at 0.00 μB per formula unit. Its space-group type is No. 216. The calculation puts the density of states at the Fermi level at 0.5693 states/eV/atom. The value obtained for the formation energy is -413 meV/atom.

abc: 5.076 5.076 5.076
angles: 60.00 60.00 60.00
Fractional coordinates of all 4 atoms:
Li 0.000 0.000 0.000
Tb 0.250 0.250 0.250
Tm 0.750 0.750 0.750
Au 0.500 0.500 0.500

Computed, not measured: a geometry-optimized LiTbTm2Au4 structure at the GGA-PBE level of DFT.

The density comes out at 12.45 g/cm3. The calculation puts the size of the total moment at 0.00 μB per formula unit. Its space-group type is No. 166. The calculation puts the density of states at the Fermi level at 0.5398 states/eV/atom. The value obtained for the formation energy is -787 meV/atom.

abc: 8.620 8.620 8.620
angles: 33.34 33.34 33.34
Fractional coordinates of all 8 atoms:
Li 0.000 0.000 0.000
Tb 0.500 0.500 0.500
Tm 0.257 0.257 0.257
Tm 0.743 0.743 0.743
Au 0.123 0.123 0.123
Au 0.378 0.378 0.378
Au 0.622 0.622 0.622
Au 0.877 0.877 0.877

Computed, not measured: a geometry-optimized LiTb2TmAu4 structure at the GGA-PBE level of DFT.

The density comes out at 12.10 g/cm3. The calculation puts the size of the total moment at 0.00 μB per formula unit. Its space-group type is No. 166. The calculation puts the density of states at the Fermi level at 0.5749 states/eV/atom. The value obtained for the formation energy is -794 meV/atom.

abc: 8.669 8.669 8.669
angles: 33.41 33.41 33.41
Fractional coordinates of all 8 atoms:
Li 0.000 0.000 0.000
Tb 0.256 0.256 0.256
Tb 0.744 0.744 0.744
Tm 0.500 0.500 0.500
Au 0.130 0.130 0.130
Au 0.379 0.379 0.379
Au 0.621 0.621 0.621
Au 0.870 0.870 0.870

Computed, not measured: a geometry-optimized Li2TbYAu4 structure at the GGA-PBE level of DFT.

The density comes out at 10.65 g/cm3. The calculation puts the size of the total moment at 0.00 μB per formula unit. Its space-group type is No. 166. The calculation puts the density of states at the Fermi level at 0.5931 states/eV/atom. The value obtained for the formation energy is -711 meV/atom.

abc: 8.279 8.279 8.279
angles: 34.64 34.64 34.64
Fractional coordinates of all 8 atoms:
Li 0.250 0.250 0.250
Li 0.750 0.750 0.750
Tb 0.500 0.500 0.500
Y 0.000 0.000 0.000
Au 0.128 0.128 0.128
Au 0.372 0.372 0.372
Au 0.628 0.628 0.628
Au 0.872 0.872 0.872

Computed, not measured: a geometry-optimized LiTbZnAu structure at the GGA-PBE level of DFT.

The density comes out at 8.89 g/cm3. The calculation puts the size of the total moment at 0.00 μB per formula unit. The calculation puts the offset from the most stable computed form at 0.000 eV/atom. Its space-group type is No. 216. The calculation puts the density of states at the Fermi level at 0.7897 states/eV/atom. The value obtained for the formation energy is -468 meV/atom.

abc: 4.836 4.836 4.836
angles: 60.00 60.00 60.00
Fractional coordinates of all 4 atoms:
Li 0.000 0.000 0.000
Tb 0.500 0.500 0.500
Zn 0.750 0.750 0.750
Au 0.250 0.250 0.250

Question: Which formula does entry 12 have?
Answer: LiTbZnAu